An optimized crystal structure of NbNO2F, computed with PBEsol.

Output
Its formation energy (no corrections) is 0.6978 eV per atom. For the total magnetic moment, the calculation gives 0.00 μB/cell.

Geometry as CIF:
```
data_NbNO2F
_chemical_formula_sum 'Nb1 N1 O2 F1'
_cell_length_a 3.6130
_cell_length_b 3.6130
_cell_length_c 3.4768
_cell_angle_alpha 90.00
_cell_angle_beta 90.00
_cell_angle_gamma 90.00
_symmetry_space_group_name_H-M 'P 4/m m m'
_symmetry_Int_Tables_number 123
_symmetry_space_group_name_Hall '-P 4 2'
loop_
_atom_site_label
_atom_site_fract_x
_atom_site_fract_y
_atom_site_fract_z
Nb1 0.0000 0.0000 0.0000
N1 0.5000 0.5000 0.0000
O1 0.0000 0.5000 0.5000
F1 0.5000 0.5000 0.5000
```